No. 1
The following is a DFT calculation (PBE) of a relaxed structure of BaCa4Ac.

## Properties
**Mass density**: 3.2 g cm⁻³
**D(E_F)**: 7.492 states/eV/cell
**ΔE to the lowest computed polymorph**: 0.000 eV per atom
**Formation energy**: 32 meV per atom

a = 4.4012 Å, b = 4.4012 Å, c = 14.1542 Å
α = 90.00°, β = 90.00°, γ = 90.00°
With the nearest neighbours (Å) after each atom.
Positions (direct):
Ba: 0.0000 0.0000 0.0000  8 Ca 4.15, 4 Ba 4.40
Ca: 0.0000 0.0000 0.3408  4 Ca 3.74, 4 Ac 3.84
Ca: 0.0000 0.0000 0.6592  4 Ca 3.74, 4 Ac 3.84
Ca: 0.5000 0.5000 0.1943  4 Ca 3.74, 4 Ba 4.15
Ca: 0.5000 0.5000 0.8057  4 Ca 3.74, 4 Ba 4.15
Ac: 0.5000 0.5000 0.5000  8 Ca 3.84

No. 2
The following is a DFT calculation (PBE) of a relaxed structure of Ba2CaAc.

## Properties
**Mass density**: 4.0 g cm⁻³
**D(E_F)**: 15.489 states/eV/cell
**ΔE to the lowest computed polymorph**: 0.147 eV per atom
**Formation energy**: 222 meV per atom

a = 7.0158 Å, b = 7.3322 Å, c = 10.1267 Å
α = 68.78°, β = 81.64°, γ = 66.25°
With the nearest neighbours (Å) after each atom.
Positions (direct):
Ba: 0.0637 0.2085 0.2209  2 Ca 3.88-4.03, 2 Ac 3.91-4.00, 1 Ba 4.12
Ba: 0.4363 0.5706 0.2209  2 Ca 3.88-4.03, 2 Ac 3.91-4.00, 2 Ba 4.12-4.34
Ba: 0.5637 0.4294 0.7791  2 Ca 3.88-4.03, 2 Ac 3.91-4.00, 2 Ba 4.12-4.34
Ba: 0.9363 0.7915 0.7791  2 Ca 3.88-4.03, 2 Ac 3.91-4.00, 1 Ba 4.12
Ca: 0.2496 0.0694 0.8610  4 Ba 3.88-4.03, 2 Ac 3.93
Ca: 0.7504 0.9306 0.1390  4 Ba 3.88-4.03, 2 Ac 3.93
Ac: 0.0000 0.5000 0.5000  4 Ba 3.91-4.00, 2 Ac 3.92, 2 Ca 3.93
Ac: 0.5000 0.0000 0.5000  4 Ba 3.91-4.00, 2 Ac 3.92, 2 Ca 3.93

Copy entry 1 word for word.
The following is a DFT calculation (PBE) of a relaxed structure of BaCa4Ac.

## Properties
**Mass density**: 3.2 g cm⁻³
**D(E_F)**: 7.492 states/eV/cell
**ΔE to the lowest computed polymorph**: 0.000 eV per atom
**Formation energy**: 32 meV per atom

a = 4.4012 Å, b = 4.4012 Å, c = 14.1542 Å
α = 90.00°, β = 90.00°, γ = 90.00°
With the nearest neighbours (Å) after each atom.
Positions (direct):
Ba: 0.0000 0.0000 0.0000  8 Ca 4.15, 4 Ba 4.40
Ca: 0.0000 0.0000 0.3408  4 Ca 3.74, 4 Ac 3.84
Ca: 0.0000 0.0000 0.6592  4 Ca 3.74, 4 Ac 3.84
Ca: 0.5000 0.5000 0.1943  4 Ca 3.74, 4 Ba 4.15
Ca: 0.5000 0.5000 0.8057  4 Ca 3.74, 4 Ba 4.15
Ac: 0.5000 0.5000 0.5000  8 Ca 3.84

Please write out number 2 again, unchanged.
The following is a DFT calculation (PBE) of a relaxed structure of Ba2CaAc.

## Properties
**Mass density**: 4.0 g cm⁻³
**D(E_F)**: 15.489 states/eV/cell
**ΔE to the lowest computed polymorph**: 0.147 eV per atom
**Formation energy**: 222 meV per atom

a = 7.0158 Å, b = 7.3322 Å, c = 10.1267 Å
α = 68.78°, β = 81.64°, γ = 66.25°
With the nearest neighbours (Å) after each atom.
Positions (direct):
Ba: 0.0637 0.2085 0.2209  2 Ca 3.88-4.03, 2 Ac 3.91-4.00, 1 Ba 4.12
Ba: 0.4363 0.5706 0.2209  2 Ca 3.88-4.03, 2 Ac 3.91-4.00, 2 Ba 4.12-4.34
Ba: 0.5637 0.4294 0.7791  2 Ca 3.88-4.03, 2 Ac 3.91-4.00, 2 Ba 4.12-4.34
Ba: 0.9363 0.7915 0.7791  2 Ca 3.88-4.03, 2 Ac 3.91-4.00, 1 Ba 4.12
Ca: 0.2496 0.0694 0.8610  4 Ba 3.88-4.03, 2 Ac 3.93
Ca: 0.7504 0.9306 0.1390  4 Ba 3.88-4.03, 2 Ac 3.93
Ac: 0.0000 0.5000 0.5000  4 Ba 3.91-4.00, 2 Ac 3.92, 2 Ca 3.93
Ac: 0.5000 0.0000 0.5000  4 Ba 3.91-4.00, 2 Ac 3.92, 2 Ca 3.93